NpCr2GaO8: relaxed, GGA+U.

Calculated values
Calculated density   6.552 g/cm³
Spin magnetization   12.0 μB per cell
D(E_F)   5.6 states/eV/f.u.
E   -95.3 eV/f.u.

```
data_NpCr2GaO8
_chemical_formula_sum 'Np2 Cr4 Ga2 O16'
_space_group_name_H-M_alt 'C m m m'
_space_group_IT_number 65
_space_group_name_Hall '-C 2 2'
_cell_length_a 6.554
_cell_length_b 6.670
_cell_length_c 6.246
_cell_angle_alpha 90.00
_cell_angle_beta 90.00
_cell_angle_gamma 90.00
loop_
_atom_site_label
_atom_site_type_symbol
_atom_site_fract_x
_atom_site_fract_y
_atom_site_fract_z
_atom_site_occupancy
Np1 Np 0.000 0.000 0.000 1
Cr1 Cr 0.000 0.500 0.263 1
Ga1 Ga 0.000 0.000 0.500 1
O1 O 0.000 0.198 0.253 1
O2 O 0.190 0.500 0.000 1
O3 O 0.197 0.500 0.500 1
```

***

PaMn2PtO8: relaxed, GGA+U.

Calculated values
Calculated density   6.910 g/cm³
Spin magnetization   9.9 μB per cell
D(E_F)   4.8 states/eV/f.u.
E   -87.9 eV/f.u.

```
data_PaMn2PtO8
_chemical_formula_sum 'Pa2 Mn4 Pt2 O16'
_space_group_name_H-M_alt 'I -4 m 2'
_space_group_IT_number 119
_space_group_name_Hall 'I -4 -2'
_cell_length_a 6.683
_cell_length_b 6.683
_cell_length_c 7.145
_cell_angle_alpha 90.00
_cell_angle_beta 90.00
_cell_angle_gamma 90.00
loop_
_atom_site_label
_atom_site_type_symbol
_atom_site_fract_x
_atom_site_fract_y
_atom_site_fract_z
_atom_site_occupancy
Pa1 Pa 0.000 0.000 0.000 1
Mn1 Mn 0.000 0.000 0.500 1
Mn2 Mn 0.000 0.500 0.750 1
Pt1 Pt 0.000 0.500 0.250 1
O1 O 0.000 0.204 0.280 1
O2 O 0.000 0.311 0.919 1
```